The following is a DFT calculation (PBE) of crystalline CdInPd2 at its relaxed geometry.

Cell: 4.644 6.559 13.939 Å, 90.00 90.00 90.00°
Fractional positions:
Cd: 0.000 0.000 0.000
Cd: 0.500 0.500 0.167
Cd: 0.000 0.000 0.333
Cd: 0.500 0.500 0.500
Cd: 0.000 0.000 0.667
Cd: 0.500 0.500 0.833
In: 0.000 0.500 0.000
In: 0.500 0.000 0.167
In: 0.000 0.500 0.333
In: 0.500 0.000 0.500
In: 0.000 0.500 0.667
In: 0.500 0.000 0.833
Pd: 0.500 0.250 0.000
Pd: 0.500 0.750 0.000
Pd: 0.000 0.250 0.167
Pd: 0.000 0.750 0.167
Pd: 0.500 0.250 0.333
Pd: 0.500 0.750 0.333
Pd: 0.000 0.250 0.500
Pd: 0.000 0.750 0.500
Pd: 0.500 0.250 0.667
Pd: 0.500 0.750 0.667
Pd: 0.000 0.250 0.833
Pd: 0.000 0.750 0.833

Summary:
* symmetry: I4/mmm, No. 139

The following is a DFT calculation (PBE) of crystalline SmTlHgTe3 at its relaxed geometry.

Cell: 4.639 12.784 13.455 Å, 90.00 90.00 90.00°
Fractional positions:
Hg: 0.750 0.755 0.199
Hg: 0.750 0.255 0.301
Hg: 0.250 0.745 0.699
Hg: 0.250 0.245 0.801
Sm: 0.250 0.470 0.186
Sm: 0.250 0.970 0.314
Sm: 0.750 0.030 0.686
Sm: 0.750 0.530 0.814
Te: 0.750 0.585 0.064
Te: 0.750 0.971 0.151
Te: 0.250 0.224 0.174
Te: 0.250 0.724 0.326
Te: 0.750 0.471 0.349
Te: 0.750 0.085 0.436
Te: 0.250 0.915 0.564
Te: 0.250 0.529 0.651
Te: 0.750 0.276 0.674
Te: 0.750 0.776 0.826
Te: 0.250 0.029 0.849
Te: 0.250 0.415 0.936
Tl: 0.250 0.817 0.011
Tl: 0.250 0.317 0.489
Tl: 0.750 0.683 0.511
Tl: 0.750 0.183 0.989

Summary:
* symmetry: Pnma, No. 62

DFT total energy? In order: -95.5 -83.7 eV/cell.